DFT (PBE) results for a relaxed Tb2Pm8Th3 crystal.

Results
- E (Ry per atom) = -0.3756
- E_form (meV/atom) = 237
- total magnetic moment (μB/cell) = 0.00
- SG = C2/m (12)

Lattice parameters (Å, degrees): 7.4497 7.4497 8.7511 105.08 105.08 95.49
With the nearest neighbours (Å) after each atom.
Positions (direct):
1 Tb 0.2330 0.2330 0.0418  5 Pm 3.28-3.62, 2 Th 3.43
2 Tb 0.7670 0.7670 0.9582  5 Pm 3.28-3.62, 2 Th 3.43
3 Pm 0.0805 0.5960 0.3202  3 Th 3.35-3.74, 3 Pm 3.46-3.63, 1 Tb 3.62
4 Pm 0.0915 0.0915 0.3462  2 Tb 3.47-3.68, 8 Pm 3.63-3.88, 3 Th 3.78-3.83
5 Pm 0.3996 0.3996 0.7841  1 Th 3.02, 1 Tb 3.28
6 Pm 0.4040 0.9195 0.6798  3 Th 3.35-3.74, 3 Pm 3.46-3.63, 1 Tb 3.62
7 Pm 0.5960 0.0805 0.3202  3 Th 3.35-3.74, 3 Pm 3.46-3.63, 1 Tb 3.62
8 Pm 0.6004 0.6004 0.2159  1 Th 3.02, 1 Tb 3.28
9 Pm 0.9085 0.9085 0.6538  2 Tb 3.47-3.68, 8 Pm 3.63-3.88, 3 Th 3.78-3.83
10 Pm 0.9195 0.4040 0.6798  3 Th 3.35-3.74, 3 Pm 3.46-3.63, 1 Tb 3.62
11 Th 0.2367 0.7633 0.0000  6 Pm 3.40-3.74, 2 Tb 3.43
12 Th 0.5000 0.5000 0.5000  6 Pm 3.02-3.35
13 Th 0.7633 0.2367 0.0000  6 Pm 3.40-3.74, 2 Tb 3.43